First-principles (meta-GGA SCAN) data for BeAgRu at its PBEsol-relaxed geometry, as listed in Alexandria.

Computed properties:
- electronic total energy (eV per formula unit) = -70.03
- space-group type = P3m1, No. 156
- calculated volume (Å³ per atom) = 12.9
- DOS at the Fermi energy (states/eV/f.u.) = 1.96

Unit cell a=2.689 b=2.689 c=6.176 alpha=90.00 beta=90.00 gamma=120.00
Fractional positions:
Ag 0.000 0.000 0.979
Be 0.333 0.667 0.652
Ru 0.667 0.333 0.368